Entry A
DFT (GGA-PBEsol) results for crystalline IrAu2Br at its relaxed geometry.

Calculated values
The value obtained for the density of states at the Fermi level is 3.79 states/eV per cell. As for the magnetization: 0.00 Bohr magnetons per cell.

Cell lengths 2.7360, 2.7360, 10.5407 Å; angles 90.00, 90.00, 90.00 degrees
Sites, in units of the cell vectors:
Ir 0.0000 0.0000 0.0000
Au 0.5000 0.5000 0.1946
Au 0.5000 0.5000 0.8054
Br 0.0000 0.0000 0.5000

***

Entry B
DFT (GGA-PBEsol) results for crystalline IrAu2Br at its relaxed geometry.

Calculated values
The value obtained for the density of states at the Fermi level is 3.29 states/eV per cell. As for the magnetization: 0.00 Bohr magnetons per cell.

Cell lengths 6.4814, 6.4814, 6.4814 Å; angles 154.77, 140.19, 47.71 degrees
Sites, in units of the cell vectors:
Ir 0.0000 0.0000 0.0000
Au 0.2026 0.7026 0.5000
Au 0.7974 0.2974 0.5000
Br 0.5000 0.5000 0.0000

***

The winner here is entry A, beating the second structure by 0.007 eV/atom.

***

Entry A
DFT (GGA-PBEsol) results for crystalline La2AuBr at its relaxed geometry.

Calculated values
The value obtained for the density of states at the Fermi level is 2.70 states/eV per cell. As for the magnetization: 0.00 Bohr magnetons per cell.

Cell lengths 7.4763, 7.4763, 7.4763 Å; angles 33.82, 33.82, 33.82 degrees
Sites, in units of the cell vectors:
La 0.2467 0.2467 0.2467
La 0.7533 0.7533 0.7533
Au 0.5000 0.5000 0.5000
Br 0.0000 0.0000 0.0000

***

Entry B
DFT (GGA-PBEsol) results for crystalline La2AuBr at its relaxed geometry.

Calculated values
The value obtained for the density of states at the Fermi level is 2.41 states/eV per cell. As for the magnetization: 0.00 Bohr magnetons per cell.

Cell lengths 4.2605, 4.2605, 6.2254 Å; angles 90.00, 90.00, 90.00 degrees
Sites, in units of the cell vectors:
La 0.0000 0.0000 0.0000
La 0.5000 0.5000 0.5000
Au 0.0000 0.0000 0.5000
Br 0.5000 0.5000 0.0000

***

The winner here is entry B, beating the second structure by 0.036 eV/atom.

***

Entry A
DFT (GGA-PBEsol) results for crystalline LaAu2Br at its relaxed geometry.

Calculated values
The value obtained for the density of states at the Fermi level is 0.32 states/eV per cell. As for the magnetization: 0.00 Bohr magnetons per cell.

Cell lengths 5.1120, 5.1120, 5.1120 Å; angles 60.00, 60.00, 60.00 degrees
Sites, in units of the cell vectors:
La 0.0000 0.0000 0.0000
Au 0.2500 0.2500 0.2500
Au 0.7500 0.7500 0.7500
Br 0.5000 0.5000 0.5000

***

Entry B
DFT (GGA-PBEsol) results for crystalline LaAu2Br at its relaxed geometry.

Calculated values
The value obtained for the density of states at the Fermi level is 1.96 states/eV per cell. As for the magnetization: 0.00 Bohr magnetons per cell.

Cell lengths 4.1575, 4.1575, 5.2364 Å; angles 90.00, 90.00, 90.00 degrees
Sites, in units of the cell vectors:
La 0.0000 0.0000 0.0000
Au 0.0000 0.5000 0.5000
Au 0.5000 0.0000 0.5000
Br 0.5000 0.5000 0.0000

***

The winner here is entry B, beating the second structure by 0.112 eV/atom.

***

Entry A
DFT (GGA-PBEsol) results for crystalline Mo2AuBr at its relaxed geometry.

Calculated values
The value obtained for the density of states at the Fermi level is 3.54 states/eV per cell. As for the magnetization: 0.00 Bohr magnetons per cell.

Cell lengths 8.9085, 8.9085, 8.9085 Å; angles 18.93, 18.93, 18.93 degrees
Sites, in units of the cell vectors:
Mo 0.2473 0.2473 0.2473
Mo 0.7527 0.7527 0.7527
Au 0.0000 0.0000 0.0000
Br 0.5000 0.5000 0.5000

***

Entry B
DFT (GGA-PBEsol) results for crystalline Mo2AuBr at its relaxed geometry.

Calculated values
The value obtained for the density of states at the Fermi level is 3.85 states/eV per cell. As for the magnetization: 0.00 Bohr magnetons per cell.

Cell lengths 4.4293, 4.4293, 5.5014 Å; angles 99.25, 99.25, 38.35 degrees
Sites, in units of the cell vectors:
Mo 0.2490 0.2490 0.2640
Mo 0.7510 0.7510 0.7360
Au 0.5000 0.5000 0.0000
Br 0.0000 0.0000 0.5000

***

The winner here is entry A, beating the second structure by 0.121 eV/atom.

***

Entry A
DFT (GGA-PBEsol) results for crystalline Mo2AuBr at its relaxed geometry.

Calculated values
The value obtained for the density of states at the Fermi level is 4.31 states/eV per cell. As for the magnetization: 0.00 Bohr magnetons per cell.

Cell lengths 4.6903, 4.6903, 2.9154 Å; angles 90.00, 90.00, 90.00 degrees
Sites, in units of the cell vectors:
Mo 0.0000 0.5000 0.0000
Mo 0.5000 0.0000 0.0000
Au 0.0000 0.0000 0.5000
Br 0.5000 0.5000 0.5000

***

Entry B
DFT (GGA-PBEsol) results for crystalline Mo2AuBr at its relaxed geometry.

Calculated values
The value obtained for the density of states at the Fermi level is 3.96 states/eV per cell. As for the magnetization: 0.00 Bohr magnetons per cell.

Cell lengths 5.4374, 5.4374, 5.4374 Å; angles 147.58, 128.88, 61.85 degrees
Sites, in units of the cell vectors:
Mo 0.2335 0.2335 0.0000
Mo 0.7665 0.7665 0.0000
Au 0.5000 0.0000 0.5000
Br 0.0000 0.5000 0.5000

***

Entry C
DFT (GGA-PBEsol) results for crystalline Mo2AuBr at its relaxed geometry.

Calculated values
The value obtained for the density of states at the Fermi level is 3.40 states/eV per cell. As for the magnetization: 0.00 Bohr magnetons per cell.

Cell lengths 5.2188, 5.2188, 4.8580 Å; angles 105.86, 105.86, 31.76 degrees
Sites, in units of the cell vectors:
Mo 0.0000 0.0000 0.0000
Mo 0.2471 0.2471 0.7507
Au 0.4931 0.4931 0.5106
Br 0.7228 0.7228 0.1789

***

The winner here is entry C, beating the second structure by 0.048 eV/atom.

***

Entry A
DFT (GGA-PBEsol) results for crystalline MoAuBr at its relaxed geometry.

Calculated values
The value obtained for the density of states at the Fermi level is 2.06 states/eV per cell. As for the magnetization: 0.00 Bohr magnetons per cell.

Cell lengths 6.6127, 6.6127, 6.6127 Å; angles 153.72, 153.72, 37.50 degrees
Sites, in units of the cell vectors:
Mo 0.0000 0.0000 0.0000
Au 0.6394 0.6394 0.0000
Br 0.3725 0.3725 0.0000

***

Entry B
DFT (GGA-PBEsol) results for crystalline MoAuBr at its relaxed geometry.

Calculated values
The value obtained for the density of states at the Fermi level is 2.96 states/eV per cell. As for the magnetization: 0.00 Bohr magnetons per cell.

Cell lengths 3.0680, 3.0680, 6.7670 Å; angles 90.00, 90.00, 120.00 degrees
Sites, in units of the cell vectors:
Mo 0.0000 0.0000 0.0000
Au 0.3333 0.6667 0.6853
Br 0.6667 0.3333 0.2686

***

The winner here is entry B, beating the second structure by 0.083 eV/atom.

***

Entry A
DFT (GGA-PBEsol) results for crystalline NiAu2Br at its relaxed geometry.

Calculated values
The value obtained for the density of states at the Fermi level is 1.74 states/eV per cell. As for the magnetization: 0.00 Bohr magnetons per cell.

Cell lengths 6.5968, 6.5968, 6.5968 Å; angles 155.03, 141.80, 46.19 degrees
Sites, in units of the cell vectors:
Ni 0.0000 0.0000 0.0000
Au 0.1849 0.6849 0.5000
Au 0.5484 0.5484 0.0000
Br 0.8445 0.3445 0.5000

***

Entry B
DFT (GGA-PBEsol) results for crystalline NiAu2Br at its relaxed geometry.

Calculated values
The value obtained for the density of states at the Fermi level is 3.47 states/eV per cell. As for the magnetization: 0.45 Bohr magnetons per cell.

Cell lengths 2.9894, 2.9894, 7.6932 Å; angles 90.00, 90.00, 90.00 degrees
Sites, in units of the cell vectors:
Ni 0.0000 0.0000 0.0000
Au 0.0000 0.0000 0.4634
Au 0.5000 0.5000 0.2177
Br 0.5000 0.5000 0.8109

***

Entry C
DFT (GGA-PBEsol) results for crystalline NiAu2Br at its relaxed geometry.

Calculated values
The value obtained for the density of states at the Fermi level is 3.13 states/eV per cell. As for the magnetization: 0.33 Bohr magnetons per cell.

Cell lengths 5.7995, 5.7995, 3.2468 Å; angles 106.13, 106.13, 125.60 degrees
Sites, in units of the cell vectors:
Ni 0.0000 0.0000 0.0000
Au 0.0000 0.5000 0.5000
Au 0.5000 0.0000 0.5000
Br 0.5000 0.5000 0.0000

***

The winner here is entry A, beating the second structure by 0.069 eV/atom.

***

Entry A
DFT (GGA-PBEsol) results for crystalline Pb2AuBr at its relaxed geometry.

Calculated values
The value obtained for the density of states at the Fermi level is 2.43 states/eV per cell. As for the magnetization: 0.00 Bohr magnetons per cell.

Cell lengths 5.4706, 5.4706, 3.3455 Å; angles 90.00, 90.00, 90.00 degrees
Sites, in units of the cell vectors:
Pb 0.0000 0.5000 0.0000
Pb 0.5000 0.0000 0.0000
Au 0.0000 0.0000 0.5000
Br 0.5000 0.5000 0.5000

***

Entry B
DFT (GGA-PBEsol) results for crystalline Pb2AuBr at its relaxed geometry.

Calculated values
The value obtained for the density of states at the Fermi level is 1.63 states/eV per cell. As for the magnetization: 0.00 Bohr magnetons per cell.

Cell lengths 3.9141, 3.9141, 8.5719 Å; angles 103.33, 103.33, 60.16 degrees
Sites, in units of the cell vectors:
Pb 0.2399 0.2399 0.2194
Pb 0.7601 0.7601 0.7806
Au 0.5000 0.5000 0.0000
Br 0.0000 0.0000 0.5000

***

The winner here is entry B, beating the second structure by 0.176 eV/atom.

***

Entry A
DFT (GGA-PBEsol) results for crystalline PtAu2Br at its relaxed geometry.

Calculated values
The value obtained for the density of states at the Fermi level is 2.75 states/eV per cell. As for the magnetization: 0.00 Bohr magnetons per cell.

Cell lengths 8.1395, 8.1395, 8.1395 Å; angles 23.31, 23.31, 23.31 degrees
Sites, in units of the cell vectors:
Pt 0.0000 0.0000 0.0000
Au 0.2546 0.2546 0.2546
Au 0.5051 0.5051 0.5051
Br 0.7450 0.7450 0.7450

***

Entry B
DFT (GGA-PBEsol) results for crystalline PtAu2Br at its relaxed geometry.

Calculated values
The value obtained for the density of states at the Fermi level is 2.03 states/eV per cell. As for the magnetization: 0.00 Bohr magnetons per cell.

Cell lengths 5.3048, 5.3048, 5.3048 Å; angles 136.28, 136.28, 63.55 degrees
Sites, in units of the cell vectors:
Pt 0.0000 0.0000 0.0000
Au 0.2500 0.7500 0.5000
Au 0.7500 0.2500 0.5000
Br 0.5000 0.5000 0.0000

***

The winner here is entry A, beating the second structure by 0.176 eV/atom.

***

Entry A
DFT (GGA-PBEsol) results for crystalline ReAuBr2 at its relaxed geometry.

Calculated values
The value obtained for the density of states at the Fermi level is 2.81 states/eV per cell. As for the magnetization: 0.53 Bohr magnetons per cell.

Cell lengths 6.9410, 6.9410, 6.9410 Å; angles 155.31, 139.85, 47.70 degrees
Sites, in units of the cell vectors:
Re 0.0000 0.0000 0.0000
Au 0.5000 0.5000 0.0000
Br 0.1619 0.6619 0.5000
Br 0.8381 0.3381 0.5000

***

Entry B
DFT (GGA-PBEsol) results for crystalline ReAuBr2 at its relaxed geometry.

Calculated values
The value obtained for the density of states at the Fermi level is 3.88 states/eV per cell. As for the magnetization: 0.81 Bohr magnetons per cell.

Cell lengths 4.8127, 4.8127, 3.1495 Å; angles 90.00, 90.00, 90.00 degrees
Sites, in units of the cell vectors:
Re 0.0000 0.0000 0.0000
Au 0.5000 0.5000 0.0000
Br 0.0000 0.5000 0.5000
Br 0.5000 0.0000 0.5000

***

The winner here is entry A, beating the second structure by 0.879 eV/atom.

***

Entry A
DFT (GGA-PBEsol) results for crystalline Rh2AuBr at its relaxed geometry.

Calculated values
The value obtained for the density of states at the Fermi level is 5.16 states/eV per cell. As for the magnetization: 0.00 Bohr magnetons per cell.

Cell lengths 4.6592, 4.6592, 2.9022 Å; angles 90.00, 90.00, 90.14 degrees
Sites, in units of the cell vectors:
Rh 0.0000 0.5000 0.0000
Rh 0.5000 0.0000 0.0000
Au 0.0000 0.0000 0.5000
Br 0.5000 0.5000 0.5000

***

Entry B
DFT (GGA-PBEsol) results for crystalline Rh2AuBr at its relaxed geometry.

Calculated values
The value obtained for the density of states at the Fermi level is 4.92 states/eV per cell. As for the magnetization: 0.00 Bohr magnetons per cell.

Cell lengths 2.8296, 2.8296, 9.6578 Å; angles 90.00, 90.00, 120.56 degrees
Sites, in units of the cell vectors:
Rh 0.0000 0.0000 0.0000
Rh 0.5000 0.5000 0.2199
Au 0.0000 0.0000 0.4658
Br 0.5000 0.5000 0.7718

***

The winner here is entry B, beating the second structure by 0.057 eV/atom.

***

Entry A
DFT (GGA-PBEsol) results for crystalline RuAuBr2 at its relaxed geometry.

Calculated values
The value obtained for the density of states at the Fermi level is 2.36 states/eV per cell. As for the magnetization: 0.00 Bohr magnetons per cell.

Cell lengths 11.4261, 11.4261, 11.4261 Å; angles 14.46, 14.46, 14.46 degrees
Sites, in units of the cell vectors:
Ru 0.0000 0.0000 0.0000
Au 0.5000 0.5000 0.5000
Br 0.0693 0.0693 0.0693
Br 0.9307 0.9307 0.9307

***

Entry B
DFT (GGA-PBEsol) results for crystalline RuAuBr2 at its relaxed geometry.

Calculated values
The value obtained for the density of states at the Fermi level is 4.52 states/eV per cell. As for the magnetization: 0.00 Bohr magnetons per cell.

Cell lengths 7.4728, 7.4728, 7.4728 Å; angles 29.04, 29.04, 29.04 degrees
Sites, in units of the cell vectors:
Ru 0.0000 0.0000 0.0000
Au 0.7396 0.7396 0.7396
Br 0.2851 0.2851 0.2851
Br 0.4811 0.4811 0.4811

***

The winner here is entry B, beating the second structure by 0.309 eV/atom.